Tm4Cd5In2: optimized geometry, PBE.

The space group is P2/m (No. 10) and the conventional cell measures 7.910, 3.464 and 10.131 Å, with angles of 90.00, 95.82 and 90.00 degrees. The distinct sites, in fractional coordinates, are Tm at (0.170, 0.000, 0.393), Tm at (0.279, 0.000, 0.938), Cd at (0.186, 0.500, 0.660), Cd at (0.444, 0.500, 0.204), Cd at (0.500, 0.500, 0.500) and In at (0.067, 0.500, 0.137).

For the energy of formation from the pure elements, the calculation gives -0.27 eV/atom.

Tm4Cd2In: optimized geometry, PBE.

The space group is R-3m (No. 166, hexagonal axes) and the conventional cell measures 5.0110, 5.0110 and 28.7807 Å, with angles of 90.00, 90.00 and 120.00 degrees. The distinct sites, in fractional coordinates, are Tm at (0.0000, 0.0000, 0.1216), Tm at (0.0000, 0.0000, 0.2967), Cd at (0.0000, 0.0000, 0.4016) and In at (0.0000, 0.0000, 0.5000).

For the energy of formation from the pure elements, the calculation gives 0.00 eV/atom. The value obtained for the energy above the most stable polymorph in this dataset is 170.5 meV per atom.

TmCd2In: optimized geometry, PBE.

The space group is Fm-3m (No. 225) and the conventional cell measures 7.249, 7.249 and 7.249 Å, with angles of 90.00, 90.00 and 90.00 degrees. The distinct sites, in fractional coordinates, are Tm at (0.000, 0.000, 0.000), Cd at (0.250, 0.250, 0.250) and In at (0.000, 0.000, 0.500).

For the energy of formation from the pure elements, the calculation gives -0.19 eV/atom. The value obtained for the energy above the most stable polymorph in this dataset is 96.3 meV per atom.

Tm8CdIn5: optimized geometry, PBE.

The space group is I-4 (No. 82) and the conventional cell measures 9.193, 9.193 and 9.231 Å, with angles of 90.00, 90.00 and 90.00 degrees. The distinct sites, in fractional coordinates, are Tm at (0.072, 0.172, 0.293), Tm at (0.079, 0.322, 0.940), Cd at (0.000, 0.500, 0.250), In at (0.000, 0.000, 0.000) and In at (0.127, 0.249, 0.617).

For the energy of formation from the pure elements, the calculation gives -0.25 eV/atom.

Tm4Cd3In: optimized geometry, PBE.

The space group is Pmm2 (No. 25) and the conventional cell measures 3.604, 4.835 and 11.912 Å, with angles of 90.00, 90.00 and 90.00 degrees. The distinct sites, in fractional coordinates, are Tm at (0.000, 0.000, 0.000), Tm at (0.000, 0.500, 0.321), Tm at (0.500, 0.000, 0.496), Tm at (0.500, 0.500, 0.823), Cd at (0.000, 0.500, 0.584), Cd at (0.500, 0.000, 0.233), Cd at (0.500, 0.500, 0.086) and In at (0.000, 0.000, 0.735).

For the energy of formation from the pure elements, the calculation gives -0.29 eV/atom. The value obtained for the energy above the most stable polymorph in this dataset is 51.1 meV per atom.

Tm2CdIn: optimized geometry, PBE.

The space group is Fm-3m (No. 225) and the conventional cell measures 7.403, 7.403 and 7.403 Å, with angles of 90.00, 90.00 and 90.00 degrees. The distinct sites, in fractional coordinates, are Tm at (0.250, 0.250, 0.250), Cd at (0.000, 0.000, 0.000) and In at (0.000, 0.000, 0.500).

For the energy of formation from the pure elements, the calculation gives -0.38 eV/atom. The value obtained for the energy above the most stable polymorph in this dataset is 2.4 meV per atom.